# LuZnInNi, optimized geometry, DFT PBE-GGA
data_LuZnInNi
_symmetry_space_group_name_H-M 'F -4 3 m'
_symmetry_Int_Tables_number 216
_symmetry_space_group_name_Hall 'F -4 2 3'
_cell_length_a 6.589
_cell_length_b 6.589
_cell_length_c 6.589
_cell_angle_alpha 90.00
_cell_angle_beta 90.00
_cell_angle_gamma 90.00
loop_
_atom_site_label
_atom_site_fract_x
_atom_site_fract_y
_atom_site_fract_z
Lu1 0.000 0.000 0.000
Zn1 0.250 0.250 0.750
In1 0.250 0.250 0.250
Ni1 0.000 0.000 0.500
# Calculated total energy ... -14.84 eV/f.u.